First-principles (PBE) data for a relaxed structure of Sm3HgS, as listed in Alexandria via LeMat-Bulk.

a = 3.977 Å, b = 9.125 Å, c = 15.364 Å
α = 90.00°, β = 90.00°, γ = 90.00°
Atoms (fractional coordinates):
Hg 0.250 0.106 0.190
Hg 0.750 0.394 0.690
Sm 0.250 0.674 0.704
Sm 0.750 0.826 0.204
Hg 0.750 0.894 0.810
Sm 0.750 0.662 0.469
S 0.750 0.174 0.451
Sm 0.750 0.016 0.607
S 0.750 0.674 0.049
Sm 0.750 0.326 0.296
Sm 0.250 0.984 0.393
Sm 0.750 0.162 0.031
Sm 0.250 0.338 0.531
Sm 0.250 0.174 0.796
Sm 0.750 0.516 0.893
Sm 0.250 0.484 0.107
S 0.250 0.826 0.549
S 0.250 0.326 0.951
Sm 0.250 0.838 0.969
Hg 0.250 0.606 0.310

Polymorph energy (0 for the lowest one) in meV per atom: 0
Crystal system: orthorhombic
ΔE_f (raw) in meV per atom: -989
Size of the total moment in μB per formula unit: 0.000